1.
FeReNiGe after structural relaxation, computed with PBE-GGA.

Structure (CIF):
```
data_FeReNiGe
_chemical_formula_sum 'Fe4 Re4 Ni4 Ge4'
_space_group_name_H-M_alt 'F -4 3 m'
_space_group_IT_number 216
_space_group_name_Hall 'F -4 2 3'
_cell_length_a 5.8861
_cell_length_b 5.8861
_cell_length_c 5.8861
_cell_angle_alpha 90.00
_cell_angle_beta 90.00
_cell_angle_gamma 90.00
loop_
_atom_site_label
_atom_site_fract_x
_atom_site_fract_y
_atom_site_fract_z
Fe1 0.0000 0.0000 0.0000
Re1 0.2500 0.2500 0.2500
Ni1 0.0000 0.0000 0.5000
Ge1 0.2500 0.2500 0.7500
```

Results
DFT total energy (eV per atom): -7.5018
Crystal system: cubic

---

2.
FeReNiGe after structural relaxation, computed with PBE-GGA.

Structure (CIF):
```
data_FeReNiGe
_chemical_formula_sum 'Fe4 Re4 Ni4 Ge4'
_space_group_name_H-M_alt 'F -4 3 m'
_space_group_IT_number 216
_space_group_name_Hall 'F -4 2 3'
_cell_length_a 5.8931
_cell_length_b 5.8931
_cell_length_c 5.8931
_cell_angle_alpha 90.00
_cell_angle_beta 90.00
_cell_angle_gamma 90.00
loop_
_atom_site_label
_atom_site_fract_x
_atom_site_fract_y
_atom_site_fract_z
Fe1 0.0000 0.0000 0.0000
Re1 0.0000 0.0000 0.5000
Ni1 0.2500 0.2500 0.2500
Ge1 0.2500 0.2500 0.7500
```

Results
DFT total energy (eV per atom): -7.5788
Crystal system: cubic

---

3.
ScFeNiGe after structural relaxation, computed with PBE-GGA.

Structure (CIF):
```
data_ScFeNiGe
_chemical_formula_sum 'Sc4 Fe4 Ni4 Ge4'
_space_group_name_H-M_alt 'F -4 3 m'
_space_group_IT_number 216
_space_group_name_Hall 'F -4 2 3'
_cell_length_a 6.1369
_cell_length_b 6.1369
_cell_length_c 6.1369
_cell_angle_alpha 90.00
_cell_angle_beta 90.00
_cell_angle_gamma 90.00
loop_
_atom_site_label
_atom_site_fract_x
_atom_site_fract_y
_atom_site_fract_z
Sc1 0.0000 0.0000 0.0000
Fe1 0.0000 0.0000 0.5000
Ni1 0.2500 0.2500 0.7500
Ge1 0.2500 0.2500 0.2500
```

Results
DFT total energy (eV per atom): -6.4457
Crystal system: cubic

---

4.
ScFeNiGe after structural relaxation, computed with PBE-GGA.

Structure (CIF):
```
data_ScFeNiGe
_chemical_formula_sum 'Sc4 Fe4 Ni4 Ge4'
_space_group_name_H-M_alt 'F -4 3 m'
_space_group_IT_number 216
_space_group_name_Hall 'F -4 2 3'
_cell_length_a 5.9817
_cell_length_b 5.9817
_cell_length_c 5.9817
_cell_angle_alpha 90.00
_cell_angle_beta 90.00
_cell_angle_gamma 90.00
loop_
_atom_site_label
_atom_site_fract_x
_atom_site_fract_y
_atom_site_fract_z
Sc1 0.0000 0.0000 0.0000
Fe1 0.2500 0.2500 0.7500
Ni1 0.2500 0.2500 0.2500
Ge1 0.0000 0.0000 0.5000
```

Results
DFT total energy (eV per atom): -6.5844
Crystal system: cubic

---

5.
ScFeNiGe after structural relaxation, computed with PBE-GGA.

Structure (CIF):
```
data_ScFeNiGe
_chemical_formula_sum 'Sc4 Fe4 Ni4 Ge4'
_space_group_name_H-M_alt 'F -4 3 m'
_space_group_IT_number 216
_space_group_name_Hall 'F -4 2 3'
_cell_length_a 6.1525
_cell_length_b 6.1525
_cell_length_c 6.1525
_cell_angle_alpha 90.00
_cell_angle_beta 90.00
_cell_angle_gamma 90.00
loop_
_atom_site_label
_atom_site_fract_x
_atom_site_fract_y
_atom_site_fract_z
Sc1 0.0000 0.0000 0.0000
Fe1 0.2500 0.2500 0.7500
Ni1 0.0000 0.0000 0.5000
Ge1 0.2500 0.2500 0.2500
```

Results
DFT total energy (eV per atom): -6.3559
Crystal system: cubic

---

6.
FeNiGeSe3 after structural relaxation, computed with PBE-GGA.

Structure (CIF):
```
data_FeNiGeSe3
_chemical_formula_sum 'Fe4 Ni4 Ge4 Se12'
_space_group_name_H-M_alt 'C m c m'
_space_group_IT_number 63
_space_group_name_Hall '-C 2c 2'
_cell_length_a 3.5543
_cell_length_b 13.1760
_cell_length_c 9.6329
_cell_angle_alpha 90.00
_cell_angle_beta 90.00
_cell_angle_gamma 90.00
loop_
_atom_site_label
_atom_site_fract_x
_atom_site_fract_y
_atom_site_fract_z
Fe1 0.0000 0.0000 0.0000
Ni1 0.0000 0.4569 0.2500
Ge1 0.0000 0.1938 0.7500
Se1 0.0000 0.0754 0.2500
Se2 0.0000 0.3662 0.0383
```

Results
DFT total energy (eV per atom): -4.9401
Crystal system: orthorhombic

---

7.
FeNiGeSe3 after structural relaxation, computed with PBE-GGA.

Structure (CIF):
```
data_FeNiGeSe3
_chemical_formula_sum 'Fe4 Ni4 Ge4 Se12'
_space_group_name_H-M_alt 'C m c m'
_space_group_IT_number 63
_space_group_name_Hall '-C 2c 2'
_cell_length_a 3.5498
_cell_length_b 13.4453
_cell_length_c 9.5000
_cell_angle_alpha 90.00
_cell_angle_beta 90.00
_cell_angle_gamma 90.00
loop_
_atom_site_label
_atom_site_fract_x
_atom_site_fract_y
_atom_site_fract_z
Fe1 0.0000 0.0355 0.2500
Ni1 0.0000 0.5000 0.0000
Ge1 0.0000 0.3026 0.7500
Se1 0.0000 0.1314 0.0428
Se2 0.0000 0.4180 0.2500
```

Results
DFT total energy (eV per atom): -4.9156
Crystal system: orthorhombic

---

8.
FeTcNiGe after structural relaxation, computed with PBE-GGA.

Structure (CIF):
```
data_FeTcNiGe
_chemical_formula_sum 'Fe4 Tc4 Ni4 Ge4'
_space_group_name_H-M_alt 'F -4 3 m'
_space_group_IT_number 216
_space_group_name_Hall 'F -4 2 3'
_cell_length_a 5.8791
_cell_length_b 5.8791
_cell_length_c 5.8791
_cell_angle_alpha 90.00
_cell_angle_beta 90.00
_cell_angle_gamma 90.00
loop_
_atom_site_label
_atom_site_fract_x
_atom_site_fract_y
_atom_site_fract_z
Fe1 0.0000 0.0000 0.0000
Tc1 0.0000 0.0000 0.5000
Ni1 0.2500 0.2500 0.2500
Ge1 0.2500 0.2500 0.7500
```

Results
DFT total energy (eV per atom): -7.2069
Crystal system: cubic

---

9.
FeTcNiGe after structural relaxation, computed with PBE-GGA.

Structure (CIF):
```
data_FeTcNiGe
_chemical_formula_sum 'Fe4 Tc4 Ni4 Ge4'
_space_group_name_H-M_alt 'F -4 3 m'
_space_group_IT_number 216
_space_group_name_Hall 'F -4 2 3'
_cell_length_a 5.9211
_cell_length_b 5.9211
_cell_length_c 5.9211
_cell_angle_alpha 90.00
_cell_angle_beta 90.00
_cell_angle_gamma 90.00
loop_
_atom_site_label
_atom_site_fract_x
_atom_site_fract_y
_atom_site_fract_z
Fe1 0.0000 0.0000 0.0000
Tc1 0.2500 0.2500 0.2500
Ni1 0.2500 0.2500 0.7500
Ge1 0.0000 0.0000 0.5000
```

Results
DFT total energy (eV per atom): -7.2668
Crystal system: cubic

---

10.
FeNiGeTe3 after structural relaxation, computed with PBE-GGA.

Structure (CIF):
```
data_FeNiGeTe3
_chemical_formula_sum 'Fe4 Ni4 Ge4 Te12'
_space_group_name_H-M_alt 'C m c m'
_space_group_IT_number 63
_space_group_name_Hall '-C 2c 2'
_cell_length_a 3.8256
_cell_length_b 13.5351
_cell_length_c 10.5213
_cell_angle_alpha 90.00
_cell_angle_beta 90.00
_cell_angle_gamma 90.00
loop_
_atom_site_label
_atom_site_fract_x
_atom_site_fract_y
_atom_site_fract_z
Fe1 0.0000 0.0000 0.0000
Ni1 0.0000 0.4496 0.2500
Ge1 0.0000 0.1791 0.7500
Te1 0.0000 0.0750 0.2500
Te2 0.0000 0.3655 0.0340
```

Results
DFT total energy (eV per atom): -4.6284
Crystal system: orthorhombic

---

11.
FeNiGeTe3 after structural relaxation, computed with PBE-GGA.

Structure (CIF):
```
data_FeNiGeTe3
_chemical_formula_sum 'Fe4 Ni4 Ge4 Te12'
_space_group_name_H-M_alt 'C m c m'
_space_group_IT_number 63
_space_group_name_Hall '-C 2c 2'
_cell_length_a 3.7362
_cell_length_b 14.0783
_cell_length_c 10.3216
_cell_angle_alpha 90.00
_cell_angle_beta 90.00
_cell_angle_gamma 90.00
loop_
_atom_site_label
_atom_site_fract_x
_atom_site_fract_y
_atom_site_fract_z
Fe1 0.0000 0.0438 0.2500
Ni1 0.0000 0.5000 0.0000
Ge1 0.0000 0.3163 0.7500
Te1 0.0000 0.1316 0.0351
Te2 0.0000 0.4177 0.2500
```

Results
DFT total energy (eV per atom): -4.5981
Crystal system: orthorhombic

---

12.
FeNiGeW after structural relaxation, computed with PBE-GGA.

Structure (CIF):
```
data_FeNiGeW
_chemical_formula_sum 'Fe4 Ni4 Ge4 W4'
_space_group_name_H-M_alt 'F -4 3 m'
_space_group_IT_number 216
_space_group_name_Hall 'F -4 2 3'
_cell_length_a 5.9394
_cell_length_b 5.9394
_cell_length_c 5.9394
_cell_angle_alpha 90.00
_cell_angle_beta 90.00
_cell_angle_gamma 90.00
loop_
_atom_site_label
_atom_site_fract_x
_atom_site_fract_y
_atom_site_fract_z
Fe1 0.0000 0.0000 0.0000
Ni1 0.2500 0.2500 0.2500
Ge1 0.2500 0.2500 0.7500
W1 0.0000 0.0000 0.5000
```

Results
DFT total energy (eV per atom): -7.6889
Crystal system: cubic